The following is a PBE calculation of a geometry-optimized SiBW4 structure, from the Alexandria database.

Properties
- E_tot: -130.1 eV/cell

```
data_SiBW4
_chemical_formula_sum 'Si2 B2 W8'
_symmetry_space_group_name_H-M 'P 4/m c c'
_symmetry_Int_Tables_number 124
_symmetry_space_group_name_Hall '-P 4 2c'
_cell_length_a 5.789
_cell_length_b 5.789
_cell_length_c 4.865
_cell_angle_alpha 90.00
_cell_angle_beta 90.00
_cell_angle_gamma 90.00
loop_
_atom_site_label
_atom_site_fract_x
_atom_site_fract_y
_atom_site_fract_z
_atom_site_occupancy
Si1 0.000 0.000 0.250 1
B1 0.500 0.500 0.250 1
W1 0.178 0.347 0.000 1
```

The following is a PBE calculation of a geometry-optimized SrLiMo structure, from the Alexandria database.

Properties
- E above lowest polymorph: 0.23 eV per formula unit
- E_tot: -52.3 eV/cell

```
data_SrLiMo
_chemical_formula_sum 'Sr4 Li4 Mo4'
_symmetry_space_group_name_H-M 'C 1 2/m 1'
_symmetry_Int_Tables_number 12
_cell_length_a 12.849
_cell_length_b 3.533
_cell_length_c 7.524
_cell_angle_alpha 90.00
_cell_angle_beta 113.25
_cell_angle_gamma 90.00
loop_
_symmetry_equiv_pos_as_xyz
'x,y,z'
'-x,-y,-z'
'-x,y,-z'
'x,-y,z'
'x+1/2,y+1/2,z'
'-x+1/2,-y+1/2,-z'
'-x+1/2,y+1/2,-z'
'x+1/2,-y+1/2,z'
loop_
_atom_site_label
_atom_site_fract_x
_atom_site_fract_y
_atom_site_fract_z
_atom_site_occupancy
Sr1 0.000 0.000 0.000 1
Sr2 0.000 0.000 0.500 1
Li1 0.214 0.500 0.329 1
Mo1 0.202 0.500 0.894 1
```

The following is a PBE calculation of a geometry-optimized Hf4PdN2 structure, from the Alexandria database.

Properties
- E above lowest polymorph: 2.36 eV per formula unit
- E_tot: -272.3 eV/cell

```
data_Hf4PdN2
_chemical_formula_sum 'Hf16 Pd4 N8'
_symmetry_space_group_name_H-M 'I 41/a m d'
_symmetry_Int_Tables_number 141
_cell_length_a 7.695
_cell_length_b 7.695
_cell_length_c 7.669
_cell_angle_alpha 90.00
_cell_angle_beta 90.00
_cell_angle_gamma 90.00
loop_
_symmetry_equiv_pos_as_xyz
'x,y,z'
'-x,-y,-z'
'-y+1/4,x+3/4,z+1/4'
'y+1/4,-x+3/4,-z+1/4'
'-x+1/2,-y,z+1/2'
'x+1/2,y,-z+1/2'
'y+1/4,-x+1/4,z+3/4'
'-y+1/4,x+1/4,-z+3/4'
'x,-y,-z'
'-x,y,z'
'-y+1/4,-x+1/4,-z+3/4'
'y+1/4,x+1/4,z+3/4'
'-x+1/2,y,-z+1/2'
'x+1/2,-y,z+1/2'
'y+1/4,x+3/4,-z+1/4'
'-y+1/4,-x+3/4,z+1/4'
'x+1/2,y+1/2,z+1/2'
'-x+1/2,-y+1/2,-z+1/2'
'-y+3/4,x+1/4,z+3/4'
'y+3/4,-x+1/4,-z+3/4'
'-x,-y+1/2,z'
'x,y+1/2,-z'
'y+3/4,-x+3/4,z+1/4'
'-y+3/4,x+3/4,-z+1/4'
'x+1/2,-y+1/2,-z+1/2'
'-x+1/2,y+1/2,z+1/2'
'-y+3/4,-x+3/4,-z+1/4'
'y+3/4,x+3/4,z+1/4'
'-x,y+1/2,-z'
'x,-y+1/2,z'
'y+3/4,x+1/4,-z+3/4'
'-y+3/4,-x+1/4,z+3/4'
loop_
_atom_site_label
_atom_site_fract_x
_atom_site_fract_y
_atom_site_fract_z
_atom_site_occupancy
Hf1 0.000 0.064 0.224 1
Pd1 0.000 0.250 0.875 1
N1 0.000 0.000 0.500 1
```

The following is a PBE calculation of a geometry-optimized PaRhPbS4 structure, from the Alexandria database.

Properties
- E_tot: -86.3 eV/cell

```
data_PaRhPbS4
_chemical_formula_sum 'Pa2 Rh2 Pb2 S8'
_symmetry_space_group_name_H-M 'P 1 21/m 1'
_symmetry_Int_Tables_number 11
_cell_length_a 6.620
_cell_length_b 5.757
_cell_length_c 8.371
_cell_angle_alpha 90.00
_cell_angle_beta 106.30
_cell_angle_gamma 90.00
loop_
_symmetry_equiv_pos_as_xyz
'x,y,z'
'-x,-y,-z'
'-x,y+1/2,-z'
'x,-y+1/2,z'
loop_
_atom_site_label
_atom_site_fract_x
_atom_site_fract_y
_atom_site_fract_z
_atom_site_occupancy
Pa1 0.250 0.250 0.053 1
Rh1 0.236 0.750 0.859 1
Pb1 0.280 0.250 0.542 1
S1 0.030 0.511 0.224 1
S2 0.438 0.750 0.650 1
S3 0.462 0.750 0.118 1
```

The following is a PBE calculation of a geometry-optimized YMg5Tl6 structure, from the Alexandria database.

Properties
- E_tot: -59.8 eV/cell

```
data_YMg5Tl6
_chemical_formula_sum 'Y2 Mg10 Tl12'
_symmetry_space_group_name_H-M 'C m m m'
_symmetry_Int_Tables_number 65
_symmetry_space_group_name_Hall '-C 2 2'
_cell_length_a 5.161
_cell_length_b 15.872
_cell_length_c 7.361
_cell_angle_alpha 90.00
_cell_angle_beta 90.00
_cell_angle_gamma 90.00
loop_
_atom_site_label
_atom_site_fract_x
_atom_site_fract_y
_atom_site_fract_z
_atom_site_occupancy
Y1 0.000 0.000 0.000 1
Mg1 0.000 0.000 0.500 1
Mg2 0.000 0.326 0.500 1
Mg3 0.000 0.337 0.000 1
Tl1 0.000 0.168 0.252 1
Tl2 0.000 0.500 0.269 1
```

The following is a PBE calculation of a geometry-optimized TbNd3Sm2Y6 structure, from the Alexandria database.

Properties
- E_tot: -134.0 eV/cell

```
data_TbNd3Sm2Y6
_chemical_formula_sum 'Tb2 Nd6 Sm4 Y12'
_symmetry_space_group_name_H-M 'C 1 2/m 1'
_symmetry_Int_Tables_number 12
_cell_length_a 6.260
_cell_length_b 10.839
_cell_length_c 11.881
_cell_angle_alpha 90.00
_cell_angle_beta 100.08
_cell_angle_gamma 90.00
loop_
_symmetry_equiv_pos_as_xyz
'x,y,z'
'-x,-y,-z'
'-x,y,-z'
'x,-y,z'
'x+1/2,y+1/2,z'
'-x+1/2,-y+1/2,-z'
'-x+1/2,y+1/2,-z'
'x+1/2,-y+1/2,z'
loop_
_atom_site_label
_atom_site_fract_x
_atom_site_fract_y
_atom_site_fract_z
_atom_site_occupancy
Tb1 0.000 0.000 0.000 1
Nd1 0.000 0.167 0.500 1
Nd2 0.000 0.500 0.500 1
Sm1 0.000 0.333 0.000 1
Y1 0.249 0.167 0.248 1
Y2 0.250 0.000 0.752 1
```

The following is a PBE calculation of a geometry-optimized HfZr3Mo structure, from the Alexandria database.

Properties
- E above lowest polymorph: 4.22 eV per formula unit
- E_tot: -38.5 eV/cell

```
data_HfZr3Mo
_chemical_formula_sum 'Hf1 Zr3 Mo1'
_symmetry_space_group_name_H-M 'P m -3 m'
_symmetry_Int_Tables_number 221
_symmetry_space_group_name_Hall '-P 4 2 3'
_cell_length_a 5.026
_cell_length_b 5.026
_cell_length_c 5.026
_cell_angle_alpha 90.00
_cell_angle_beta 90.00
_cell_angle_gamma 90.00
loop_
_atom_site_label
_atom_site_fract_x
_atom_site_fract_y
_atom_site_fract_z
_atom_site_occupancy
Hf1 0.000 0.000 0.000 1
Zr1 0.000 0.000 0.500 1
Mo1 0.500 0.500 0.500 1
```

The following is a PBE calculation of a geometry-optimized KRhCl2 structure, from the Alexandria database.

Properties
- E above lowest polymorph: 1.67 eV per formula unit
- E_tot: -27.2 eV/cell

```
data_KRhCl2
_chemical_formula_sum 'K2 Rh2 Cl4'
_symmetry_space_group_name_H-M 'I -4 m 2'
_symmetry_Int_Tables_number 119
_symmetry_space_group_name_Hall 'I -4 -2'
_cell_length_a 4.002
_cell_length_b 4.002
_cell_length_c 13.175
_cell_angle_alpha 90.00
_cell_angle_beta 90.00
_cell_angle_gamma 90.00
loop_
_atom_site_label
_atom_site_fract_x
_atom_site_fract_y
_atom_site_fract_z
_atom_site_occupancy
K1 0.000 0.000 0.000 1
Rh1 0.000 0.500 0.250 1
Cl1 0.000 0.000 0.500 1
Cl2 0.000 0.500 0.750 1
```

The following is a PBE calculation of a geometry-optimized Y2HgBi structure, from the Alexandria database.

Properties
- E above lowest polymorph: 0.58 eV per formula unit
- E_tot: -57.3 eV/cell

```
data_Y2HgBi
_chemical_formula_sum 'Y6 Hg3 Bi3'
_symmetry_space_group_name_H-M 'R 3 m'
_symmetry_Int_Tables_number 160
_symmetry_space_group_name_Hall 'R 3 -2"'
_cell_length_a 4.2704
_cell_length_b 4.2704
_cell_length_c 23.4760
_cell_angle_alpha 90.00
_cell_angle_beta 90.00
_cell_angle_gamma 120.00
loop_
_atom_site_label
_atom_site_fract_x
_atom_site_fract_y
_atom_site_fract_z
_atom_site_occupancy
Y1 0.0000 0.0000 0.0000 1
Y2 0.0000 0.0000 0.1708 1
Hg1 0.0000 0.0000 0.7534 1
Bi1 0.0000 0.0000 0.5849 1
```

The following is a PBE calculation of a geometry-optimized BaYCo structure, from the Alexandria database.

Properties
- E above lowest polymorph: 0.59 eV per formula unit
- E_tot: -57.1 eV/cell

```
data_BaYCo
_chemical_formula_sum 'Ba4 Y4 Co4'
_symmetry_space_group_name_H-M 'F -4 3 m'
_symmetry_Int_Tables_number 216
_symmetry_space_group_name_Hall 'F -4 2 3'
_cell_length_a 7.060
_cell_length_b 7.060
_cell_length_c 7.060
_cell_angle_alpha 90.00
_cell_angle_beta 90.00
_cell_angle_gamma 90.00
loop_
_atom_site_label
_atom_site_fract_x
_atom_site_fract_y
_atom_site_fract_z
_atom_site_occupancy
Ba1 0.000 0.000 0.000 1
Y1 0.000 0.000 0.500 1
Co1 0.250 0.250 0.250 1
```

The following is a PBE calculation of a geometry-optimized TlSb2HI structure, from the Alexandria database.

Properties
- E above lowest polymorph: 3.81 eV per formula unit
- E_tot: -10.3 eV/cell

```
data_TlSb2HI
_chemical_formula_sum 'Tl1 Sb2 H1 I1'
_symmetry_space_group_name_H-M 'P 4/m m m'
_symmetry_Int_Tables_number 123
_symmetry_space_group_name_Hall '-P 4 2'
_cell_length_a 5.839
_cell_length_b 5.839
_cell_length_c 6.430
_cell_angle_alpha 90.00
_cell_angle_beta 90.00
_cell_angle_gamma 90.00
loop_
_atom_site_label
_atom_site_fract_x
_atom_site_fract_y
_atom_site_fract_z
_atom_site_occupancy
Tl1 0.000 0.000 0.000 1
Sb1 0.000 0.500 0.000 1
H1 0.500 0.500 0.500 1
I1 0.000 0.000 0.500 1
```

The following is a PBE calculation of a geometry-optimized Pm4H2Se3 structure, from the Alexandria database.

Properties
- E_tot: -193.2 eV/cell

```
data_Pm4H2Se3
_chemical_formula_sum 'Pm16 H8 Se12'
_symmetry_space_group_name_H-M 'C 1 2/c 1'
_symmetry_Int_Tables_number 15
_cell_length_a 12.695
_cell_length_b 10.064
_cell_length_c 6.226
_cell_angle_alpha 90.00
_cell_angle_beta 95.17
_cell_angle_gamma 90.00
loop_
_symmetry_equiv_pos_as_xyz
'x,y,z'
'-x,-y,-z'
'-x,y,-z+1/2'
'x,-y,z+1/2'
'x+1/2,y+1/2,z'
'-x+1/2,-y+1/2,-z'
'-x+1/2,y+1/2,-z+1/2'
'x+1/2,-y+1/2,z+1/2'
loop_
_atom_site_label
_atom_site_fract_x
_atom_site_fract_y
_atom_site_fract_z
_atom_site_occupancy
Pm1 0.115 0.173 0.479 1
Pm2 0.157 0.412 0.949 1
H1 0.205 0.372 0.592 1
Se1 0.000 0.396 0.250 1
Se2 0.116 0.124 0.984 1
```